# CsPa2ReN5 | Alexandria via LeMat-Bulk | GGA-PBE | optimized geometry
# Raw formation energy in eV/atom: -0.7162
data_CsPa2ReN5
_chemical_formula_sum 'Cs4 Pa8 Re4 N20'
_cell_length_a 6.869
_cell_length_b 6.869
_cell_length_c 11.629
_cell_angle_alpha 90.00
_cell_angle_beta 90.00
_cell_angle_gamma 90.00
_symmetry_space_group_name_H-M 'I 4/m c m'
_symmetry_Int_Tables_number 140
_symmetry_space_group_name_Hall '-I 4 2c'
loop_
_atom_site_label
_atom_site_fract_x
_atom_site_fract_y
_atom_site_fract_z
Cs1 0.000 0.000 0.250
Pa1 0.190 0.310 0.000
Re1 0.000 0.500 0.250
N1 0.000 0.000 0.000
N2 0.134 0.366 0.373

=====

# NbTlIn2Pb | Alexandria via LeMat-Bulk | GGA-PBE | optimized geometry
# Formation energy in eV/atom: 1.079
data_NbTlIn2Pb
_chemical_formula_sum 'Nb1 Tl1 In2 Pb1'
_cell_length_a 5.551
_cell_length_b 5.551
_cell_length_c 5.499
_cell_angle_alpha 90.00
_cell_angle_beta 90.00
_cell_angle_gamma 90.00
_symmetry_space_group_name_H-M 'P 4/m m m'
_symmetry_Int_Tables_number 123
_symmetry_space_group_name_Hall '-P 4 2'
loop_
_atom_site_label
_atom_site_fract_x
_atom_site_fract_y
_atom_site_fract_z
Nb1 0.000 0.000 0.000
Tl1 0.000 0.000 0.500
In1 0.000 0.500 0.500
Pb1 0.500 0.500 0.000

=====

# KLi3Rh | Alexandria via LeMat-Bulk | GGA-PBE | optimized geometry
# Formation energy in eV/atom: 0.143
# E above lowest polymorph in eV per atom: 0.000
data_KLi3Rh
_chemical_formula_sum 'K1 Li3 Rh1'
_cell_length_a 4.921
_cell_length_b 4.921
_cell_length_c 4.921
_cell_angle_alpha 90.00
_cell_angle_beta 90.00
_cell_angle_gamma 90.00
_symmetry_space_group_name_H-M 'P m -3 m'
_symmetry_Int_Tables_number 221
_symmetry_space_group_name_Hall '-P 4 2 3'
loop_
_atom_site_label
_atom_site_fract_x
_atom_site_fract_y
_atom_site_fract_z
K1 0.000 0.000 0.000
Li1 0.000 0.500 0.500
Rh1 0.500 0.500 0.500

=====

# TlP2Ru | Alexandria via LeMat-Bulk | GGA-PBE | optimized geometry
# Formation energy in eV/atom: 0.771
# E above lowest polymorph in eV per atom: 0.817
data_TlP2Ru
_chemical_formula_sum 'Tl2 P4 Ru2'
_cell_length_a 4.096
_cell_length_b 4.096
_cell_length_c 8.089
_cell_angle_alpha 90.00
_cell_angle_beta 90.00
_cell_angle_gamma 90.00
_symmetry_space_group_name_H-M 'I -4 m 2'
_symmetry_Int_Tables_number 119
_symmetry_space_group_name_Hall 'I -4 -2'
loop_
_atom_site_label
_atom_site_fract_x
_atom_site_fract_y
_atom_site_fract_z
Tl1 0.000 0.000 0.000
P1 0.000 0.000 0.500
P2 0.000 0.500 0.750
Ru1 0.000 0.500 0.250

=====

Number 1: ρ 10.30 g/cm3. Number 2: ρ 7.19 g/cm3. Number 3: ρ 2.27 g/cm3. Number 4: ρ 8.99 g/cm3.